No. 1
Below is TbInTe2O8 after structural relaxation, with properties calculated at the PBE level.

The value obtained for the calculated density is 6.00 g/cm3. Its formation energy from raw total energies is -141 kJ/mol of atoms. The value obtained for the total DFT energy (no corrections) is -141.6 eV for the cell shown. For the density of states at the Fermi level, the calculation gives 0.407 states/eV/f.u.

The space group is I-4m2 (No. 119) and the conventional cell measures 7.2293, 7.2293 and 6.9540 Å, with angles of 90.00, 90.00 and 90.00 degrees. Symmetry generates all atoms from Tb at (0.0000, 0.0000, 0.0000), In at (0.0000, 0.5000, 0.2500), Te at (0.0000, 0.0000, 0.5000), Te at (0.0000, 0.5000, 0.7500), O at (0.0000, 0.1951, 0.2915) and O at (0.0000, 0.3145, 0.9368).

No. 2
Below is TbInTeO6 after structural relaxation, with properties calculated at the PBE level.

The value obtained for the calculated density is 6.70 g/cm3. Its formation energy from raw total energies is -186 kJ/mol of atoms. The value obtained for the total DFT energy (no corrections) is -115.2 eV for the cell shown. For the density of states at the Fermi level, the calculation gives 0.000 states/eV/f.u.

The space group is P-31c (No. 163) and the conventional cell measures 5.4124, 5.4124 and 9.7131 Å, with angles of 90.00, 90.00 and 120.00 degrees. Symmetry generates all atoms from Tb at (0.0000, 0.0000, 0.0000), In at (0.3333, 0.6667, 0.2500), Te at (0.3333, 0.6667, 0.7500) and O at (0.0326, 0.3702, 0.6362).

No. 3
Below is TbTlIn2O6 after structural relaxation, with properties calculated at the PBE level.

The value obtained for the calculated density is 8.11 g/cm3. Its formation energy from raw total energies is -174 kJ/mol of atoms. The value obtained for the total DFT energy (no corrections) is -180.7 eV for the cell shown.

The space group is R3 (No. 146, hexagonal axes) and the conventional cell measures 5.7137, 5.7137 and 14.9693 Å, with angles of 90.00, 90.00 and 120.00 degrees. Symmetry generates all atoms from Tb at (0.0000, 0.0000, 0.0000), Tl at (0.0000, 0.0000, 0.4996), In at (0.0000, 0.0000, 0.2831), In at (0.0000, 0.0000, 0.7809), O at (0.0196, 0.3019, 0.8854) and O at (0.0210, 0.7148, 0.3844).

No. 4
Below is TbUIn2O8 after structural relaxation, with properties calculated at the PBE level.

The value obtained for the calculated density is 7.23 g/cm3. Its formation energy from raw total energies is -225 kJ/mol of atoms. The value obtained for the total DFT energy (no corrections) is -89.1 eV for the cell shown. For the density of states at the Fermi level, the calculation gives 8.073 states/eV/f.u.

The space group is P2/m (No. 10) and the conventional cell measures 5.0100, 6.9010 and 5.0108 Å, with angles of 90.00, 90.23 and 90.00 degrees. Symmetry generates all atoms from Tb at (0.0000, 0.0000, 0.0000), U at (0.0000, 0.5000, 0.0000), In at (0.5000, 0.2524, 0.5000), O at (0.1880, 0.2712, 0.8107), O at (0.3014, 0.5000, 0.3002) and O at (0.3168, 0.0000, 0.3151).

No. 5
Below is TbY2InO after structural relaxation, with properties calculated at the PBE level.

The value obtained for the calculated density is 7.01 g/cm3. Its formation energy from raw total energies is -138 kJ/mol of atoms. The value obtained for the total DFT energy (no corrections) is -32.4 eV for the cell shown. For the density of states at the Fermi level, the calculation gives 1.542 states/eV/f.u.

The space group is P4/mmm (No. 123) and the conventional cell measures 4.8013, 4.8013 and 4.8010 Å, with angles of 90.00, 90.00 and 90.00 degrees. Symmetry generates all atoms from Tb at (0.0000, 0.0000, 0.0000), Y at (0.0000, 0.5000, 0.5000), In at (0.5000, 0.5000, 0.0000) and O at (0.0000, 0.0000, 0.5000).

No. 6
Below is InTcO4 after structural relaxation, with properties calculated at the PBE level.

The value obtained for the calculated density is 6.21 g/cm3. Its formation energy from raw total energies is -130 kJ/mol of atoms. The value obtained for the total DFT energy (no corrections) is -164.1 eV for the cell shown. For the density of states at the Fermi level, the calculation gives 1.387 states/eV/f.u. The polymorph energy (0 for the lowest one) is 30.7 meV per atom.

The space group is I4_1md (No. 109) and the conventional cell measures 6.7533, 6.7533 and 6.4951 Å, with angles of 90.00, 90.00 and 90.00 degrees. Symmetry generates all atoms from In at (0.0000, 0.0000, 0.0000), Tc at (0.0000, 0.0000, 0.5071), O at (0.0000, 0.2993, 0.5194) and O at (0.0000, 0.3107, 0.9767).

No. 7
Below is InTcO4 after structural relaxation, with properties calculated at the PBE level.

The value obtained for the calculated density is 6.23 g/cm3. Its formation energy from raw total energies is -133 kJ/mol of atoms. The value obtained for the total DFT energy (no corrections) is -82.4 eV for the cell shown. For the density of states at the Fermi level, the calculation gives 1.874 states/eV/f.u. The polymorph energy (0 for the lowest one) is 0.0 meV per atom.

The space group is P2_1/c (No. 14) and the conventional cell measures 5.7573, 4.8195 and 5.6698 Å, with angles of 90.00, 110.37 and 90.00 degrees. Symmetry generates all atoms from In at (0.0000, 0.0000, 0.0000), Tc at (0.5000, 0.0000, 0.5000), O at (0.1703, 0.1641, 0.3746) and O at (0.3753, 0.7133, 0.6759).

No. 8
Below is In2TcO after structural relaxation, with properties calculated at the PBE level.

The value obtained for the calculated density is 7.96 g/cm3. Its formation energy from raw total energies is 3 kJ/mol of atoms. The value obtained for the total DFT energy (no corrections) is -82.6 eV for the cell shown. For the density of states at the Fermi level, the calculation gives 3.198 states/eV/f.u.

The space group is I-42d (No. 122) and the conventional cell measures 6.6665, 6.6665 and 6.4505 Å, with angles of 90.00, 90.00 and 90.00 degrees. Symmetry generates all atoms from In at (0.1886, 0.2500, 0.1250), Tc at (0.0000, 0.0000, 0.5000) and O at (0.0000, 0.0000, 0.0000).

No. 9
Below is InTc2O after structural relaxation, with properties calculated at the PBE level.

The value obtained for the calculated density is 8.74 g/cm3. Its formation energy from raw total energies is 9 kJ/mol of atoms. The value obtained for the total DFT energy (no corrections) is -112.3 eV for the cell shown. For the density of states at the Fermi level, the calculation gives 3.995 states/eV/f.u. The polymorph energy (0 for the lowest one) is 0.0 meV per atom.

The space group is I-42d (No. 122) and the conventional cell measures 6.5496, 6.5496 and 5.7904 Å, with angles of 90.00, 90.00 and 90.00 degrees. Symmetry generates all atoms from In at (0.0000, 0.0000, 0.0000), Tc at (0.1332, 0.2500, 0.6250) and O at (0.0000, 0.0000, 0.5000).

No. 10
Below is InTc2O after structural relaxation, with properties calculated at the PBE level.

The value obtained for the calculated density is 9.15 g/cm3. Its formation energy from raw total energies is 88 kJ/mol of atoms. The value obtained for the total DFT energy (no corrections) is -99.2 eV for the cell shown. For the density of states at the Fermi level, the calculation gives 4.589 states/eV/f.u. The polymorph energy (0 for the lowest one) is 815.8 meV per atom.

The space group is Fm-3m (No. 225) and the conventional cell measures 6.1897, 6.1897 and 6.1897 Å, with angles of 90.00, 90.00 and 90.00 degrees. Symmetry generates all atoms from In at (0.0000, 0.0000, 0.0000), Tc at (0.2500, 0.2500, 0.2500) and O at (0.0000, 0.0000, 0.5000).

No. 11
Below is In3TcO6 after structural relaxation, with properties calculated at the PBE level.

The value obtained for the calculated density is 6.96 g/cm3. Its formation energy from raw total energies is -122 kJ/mol of atoms. The value obtained for the total DFT energy (no corrections) is -243.9 eV for the cell shown. For the density of states at the Fermi level, the calculation gives 2.410 states/eV/f.u.

The space group is Cmc2_1 (No. 36) and the conventional cell measures 8.8517, 10.6541 and 5.4487 Å, with angles of 90.00, 90.00 and 90.00 degrees. Symmetry generates all atoms from In at (0.0000, 0.1036, 0.0000), In at (0.2143, 0.3807, 0.0557), Tc at (0.0000, 0.3616, 0.5685), O at (0.0000, 0.2846, 0.2402), O at (0.0000, 0.4732, 0.8901), O at (0.1425, 0.2476, 0.7618) and O at (0.1596, 0.0189, 0.2737).

No. 12
Below is TiInTcO6 after structural relaxation, with properties calculated at the PBE level.

The value obtained for the calculated density is 5.56 g/cm3. Its formation energy from raw total energies is -184 kJ/mol of atoms. The value obtained for the total DFT energy (no corrections) is -135.8 eV for the cell shown. For the density of states at the Fermi level, the calculation gives 4.759 states/eV/f.u.

The space group is P-31c (No. 163) and the conventional cell measures 5.1284, 5.1284 and 9.3458 Å, with angles of 90.00, 90.00 and 120.00 degrees. Symmetry generates all atoms from Ti at (0.3333, 0.6667, 0.2500), In at (0.0000, 0.0000, 0.0000), Tc at (0.3333, 0.6667, 0.7500) and O at (0.0003, 0.3539, 0.1355).